First-principles (PBE-GGA) data for crystalline Ba3In2Pb4 at its relaxed geometry, as listed in Alexandria via LeMat-Bulk.

Cell and atoms, written as POSCAR:
```
Ba3In2Pb4
1.0
6.771 -2.528 0.000
6.771 2.528 0.000
-3.505 0.000 9.699
Ba In Pb
3 2 4
direct
0.000 0.000 0.000 Ba
0.378 0.378 0.313 Ba
0.622 0.622 0.687 Ba
0.300 0.300 0.649 In
0.700 0.700 0.351 In
0.087 0.087 0.392 Pb
0.300 0.300 0.951 Pb
0.700 0.700 0.049 Pb
0.913 0.913 0.608 Pb
```

Computed properties:
- Energy of formation from the pure elements: -0.4538 eV per atom
- Total moment: 0.00 μB per cell
- E_tot: -30.16 eV/f.u.